Record 1
Co2NiIr: single point on PBEsol structure, SCAN.

Cell lengths 2.6808, 4.1566, 4.8317 Å; angles 115.48, 106.11, 90.00 degrees
Closest atoms and distances in Å follow each position.
Fractional positions:
Co 0.2609 0.2609 0.5219  2 Ni 2.39, 6 Co 2.48-2.68, 2 Ir 2.55
Co 0.7391 0.7391 0.4781  2 Ni 2.39, 6 Co 2.48-2.68, 2 Ir 2.55
Ir 0.5000 0.0000 0.0000  4 Ni 2.47, 4 Co 2.55, 2 Ir 2.68
Ni 0.0000 0.5000 0.0000  4 Co 2.39, 4 Ir 2.47, 2 Ni 2.68

Calculated formation energy   0.039 eV per atom
SG   Immm, No. 71

=====

Record 2
CoNi2Ir: single point on PBEsol structure, SCAN.

Cell lengths 2.5745, 2.5745, 8.2386 Å; angles 81.01, 81.01, 60.00 degrees
Closest atoms and distances in Å follow each position.
Fractional positions:
Ni 0.0032 0.0032 0.9903  9 Ni 2.46-2.57, 3 Ir 2.59
Ni 0.7507 0.7507 0.7480  3 Co 2.44, 9 Ni 2.46-2.57
Co 0.4967 0.4967 0.5098  3 Ni 2.44, 3 Ir 2.57, 6 Co 2.57
Ir 0.2494 0.2494 0.2518  3 Co 2.57, 6 Ir 2.57, 3 Ni 2.59

Calculated formation energy   0.063 eV per atom
E above lowest polymorph   69 meV/atom
SG   R3m, No. 160

=====

Record 3
Co2NiIr: single point on PBEsol structure, SCAN.

Cell lengths 2.8933, 2.8933, 5.4777 Å; angles 90.00, 90.00, 90.00 degrees
Closest atoms and distances in Å follow each position.
Fractional positions:
Co 0.0000 0.0000 0.0000  4 Co 2.38, 4 Ni 2.39
Ni 0.5000 0.5000 0.7750  5 Co 2.39-2.45, 4 Ir 2.53
Co 0.5000 0.5000 0.2220  4 Co 2.38, 1 Ni 2.45, 4 Ir 2.56
Ir 0.0000 0.0000 0.5031  4 Ni 2.53, 6 Co 2.56-2.76

Calculated formation energy   0.051 eV per atom
SG   P4mm, No. 99

=====

Record 4
CoNiIr: single point on PBEsol structure, SCAN.

Cell lengths 2.5982, 3.5315, 4.3860 Å; angles 113.74, 107.23, 90.00 degrees
Closest atoms and distances in Å follow each position.
Fractional positions:
Ir 0.6652 0.6652 0.3305  5 Ni 2.51-2.54, 5 Co 2.53-2.54, 2 Ir 2.60
Co 0.0001 0.0001 0.0001  5 Ir 2.53-2.54, 5 Ni 2.53-2.54, 2 Co 2.60
Ni 0.3347 0.3347 0.6694  5 Ir 2.51-2.54, 5 Co 2.53-2.54, 2 Ni 2.60

Calculated formation energy   0.053 eV per atom
E above lowest polymorph   4 meV/atom
SG   Imm2, No. 44

=====

Record 5
CoIrPt2O: single point on PBEsol structure, SCAN.

Cell lengths 3.6276, 4.2521, 4.2521 Å; angles 90.00, 90.00, 90.00 degrees
Closest atoms and distances in Å follow each position.
Fractional positions:
Co 0.5000 0.0000 0.0000  2 O 1.81
O 0.0000 0.0000 0.0000  2 Co 1.81
Pt 0.0000 0.0000 0.5000  2 O 2.13
Ir 0.5000 0.5000 0.5000  8 Pt 2.79, 4 Co 3.01
Pt 0.0000 0.5000 0.0000  2 O 2.13

E_form (uncorrected)   480 meV per atom
SG   P4/mmm, No. 123

=====

Record 6
Sr4CoIr3O12: single point on PBEsol structure, SCAN.

Cell lengths 5.5700, 5.5050, 7.8363 Å; angles 90.85, 90.24, 89.85 degrees
Closest atoms and distances in Å follow each position.
Fractional positions:
Sr 0.4902 0.4880 0.7646  5 O 2.43-2.62
O 0.7463 0.7461 0.9713  1 Ir 1.97, 1 Co 1.97
Sr 0.5098 0.5120 0.2354  5 O 2.43-2.62
Co 0.0000 0.5000 0.0000  6 O 1.97-2.00
O 0.1913 0.8096 0.4823  2 Ir 2.02
O 0.8087 0.1904 0.5177  2 Ir 2.02
Sr 0.0057 0.0131 0.2381  6 O 2.45-2.73
O 0.3061 0.3078 0.4662  2 Ir 2.02-2.03
O 0.9571 0.5060 0.2528  1 Ir 1.95, 1 Co 2.00
O 0.5669 0.9673 0.2500  2 Ir 2.00
O 0.6939 0.6922 0.5338  2 Ir 2.02-2.03
Ir 0.5000 0.0000 0.0000  6 O 1.96-2.00
Sr 0.9943 0.9869 0.7619  6 O 2.45-2.73
O 0.2537 0.2539 0.0287  1 Ir 1.97, 1 Co 1.97
O 0.7504 0.2475 0.9841  1 Ir 1.96, 1 Co 1.97
O 0.0429 0.4940 0.7472  1 Ir 1.95, 1 Co 2.00
Ir 0.5000 0.0000 0.5000  6 O 2.00-2.03
Ir 0.0000 0.5000 0.5000  6 O 1.95-2.02
O 0.2496 0.7525 0.0159  1 Ir 1.96, 1 Co 1.97
O 0.4331 0.0327 0.7500  2 Ir 2.00

E_form (uncorrected)   -1881 meV per atom
SG   P-1, No. 2

=====

Record 7
Co2IrOs: single point on PBEsol structure, SCAN.

Cell lengths 2.6661, 4.2928, 4.4741 Å; angles 90.00, 90.00, 90.00 degrees
Closest atoms and distances in Å follow each position.
Fractional positions:
Co 0.0000 0.0000 0.0000  4 Ir 2.53, 6 Co 2.60-2.67
Co 0.5000 0.0000 0.5000  4 Os 2.53, 6 Co 2.60-2.67
Os 0.0000 0.5000 0.5000  4 Co 2.53, 4 Ir 2.60, 2 Os 2.67
Ir 0.5000 0.5000 0.0000  4 Co 2.53, 4 Os 2.60, 2 Ir 2.67

Calculated formation energy   0.258 eV per atom
E above lowest polymorph   146 meV/atom
SG   Pmmm, No. 47

=====

Record 8
Co2IrOs: single point on PBEsol structure, SCAN.

Cell lengths 2.6812, 4.4621, 5.0135 Å; angles 116.42, 105.51, 90.00 degrees
Closest atoms and distances in Å follow each position.
Fractional positions:
Ir 0.0000 0.5000 0.0000  4 Co 2.55, 4 Os 2.60, 2 Ir 2.68
Co 0.2475 0.2475 0.4951  2 Os 2.51, 2 Ir 2.55, 6 Co 2.60-2.68
Co 0.7525 0.7525 0.5049  2 Os 2.51, 2 Ir 2.55, 6 Co 2.60-2.68
Os 0.5000 0.0000 0.0000  4 Co 2.51, 4 Ir 2.60, 2 Os 2.68

Calculated formation energy   0.251 eV per atom
E above lowest polymorph   139 meV/atom
SG   Immm, No. 71

=====

Energy values, unit eV per atom, following the record order: -30.431, -30.125, -30.419, -34.805, -46.524, -21.605, -44.138, -44.145.
Volume values, unit Å³/cell, following the record order: 46, 47, 46, 35, 66, 240, 51, 51.